# 1
Fe3HPb | PBEsol | relaxed

a = 4.9872 Å, b = 4.9872 Å, c = 4.9872 Å
α = 90.00°, β = 90.00°, γ = 90.00°
Last column: magnetic moment on the atom in μB.
Element x y z (fractional)
Pb1 0.0000 0.0000 0.0000  -0.01
H1 0.5000 0.5000 0.5000  0.22
Fe1 0.0000 0.5000 0.0000  3.22
Fe2 0.0000 0.0000 0.5000  3.22
Fe3 0.5000 0.0000 0.0000  3.22

As for the space-group type: Pm-3m (221). For the density, the calculation gives 5.03 g/cm³. As for the total energy: -4.55 eV per atom.

# 2
FeH2Pb | PBEsol | relaxed

a = 4.5962 Å, b = 4.5962 Å, c = 5.5087 Å
α = 114.66°, β = 114.66°, γ = 90.00°
Last column: magnetic moment on the atom in μB.
Element x y z (fractional)
Pb1 0.0000 0.0000 0.0000  -0.04
Pb2 0.2500 0.7500 0.5000  -0.04
H1 0.6250 0.3750 0.7500  -0.02
H2 0.1250 0.3750 0.7500  -0.02
H3 0.6250 0.8750 0.2500  -0.02
H4 0.6250 0.3750 0.2500  -0.02
Fe1 0.5000 0.5000 0.0000  2.06
Fe2 0.7500 0.2500 0.5000  2.06

As for the space-group type: I4_1/amd (141). For the density, the calculation gives 9.37 g/cm³. As for the total energy: -4.51 eV per atom.

# 3
Fe2H2Pd | PBEsol | relaxed

a = 3.1706 Å, b = 3.1706 Å, c = 4.7233 Å
α = 109.61°, β = 109.61°, γ = 90.00°
Last column: magnetic moment on the atom in μB.
Element x y z (fractional)
H1 0.2500 0.7500 0.5000  -0.03
H2 0.7500 0.2500 0.5000  -0.03
Fe1 0.3305 0.3305 0.6610  2.32
Fe2 0.6695 0.6695 0.3390  2.32
Pd1 0.0000 0.0000 0.0000  0.18

As for the space-group type: I4/mmm (139). For the density, the calculation gives 8.75 g/cm³. As for the total energy: -6.03 eV per atom.

# 4
Fe3HPd | PBEsol | relaxed

a = 3.6842 Å, b = 3.6842 Å, c = 3.6842 Å
α = 90.00°, β = 90.00°, γ = 90.00°
Last column: magnetic moment on the atom in μB.
Element x y z (fractional)
H1 0.0000 0.0000 0.0000  -0.03
Fe1 0.0000 0.5000 0.0000  2.46
Fe2 0.0000 0.0000 0.5000  2.46
Fe3 0.5000 0.0000 0.0000  2.46
Pd1 0.5000 0.5000 0.5000  0.29

As for the space-group type: Pm-3m (221). For the density, the calculation gives 9.13 g/cm³. As for the total energy: -7.20 eV per atom.